1.
Below is crystalline NbIn2Ag at its relaxed geometry, with properties calculated at the PBE level.

Values from the calculation:
The value obtained for the density of states at the Fermi level is 1.22 states/eV per cell. The value obtained for the magnetization is 0.00 Bohr magnetons per cell. Its electronic total energy is -4.552 eV per atom. The value obtained for the formation energy from the elements is 0.05 eV/atom.

The structure in POSCAR format:
```
NbIn2Ag
1.0
-2.761 1.598 -2.534
-0.971 -4.035 -1.486
-3.093 -0.403 3.115
Nb Ag In
1 1 2
direct
0.500 0.500 0.500
0.500 0.000 0.000
0.000 0.000 0.500
0.000 0.500 0.000
```



2.
Below is crystalline Nd4ZnCd3 at its relaxed geometry, with properties calculated at the PBE level.

Values from the calculation:
The value obtained for the density of states at the Fermi level is 9.99 states/eV per cell. The value obtained for the magnetization is 0.45 Bohr magnetons per cell. Its electronic total energy is -3.201 eV per atom. The value obtained for the formation energy from the elements is -0.32 eV/atom.

The structure in POSCAR format:
```
Nd4ZnCd3
1.0
3.787 0.000 0.000
0.000 3.787 0.000
0.000 0.000 15.460
Zn Nd Cd
1 4 3
direct
0.500 0.500 0.000
0.000 0.000 0.888
0.000 0.000 0.112
0.000 0.000 0.372
0.000 0.000 0.628
0.500 0.500 0.243
0.500 0.500 0.500
0.500 0.500 0.757
```



3.
Below is crystalline Pm4Pr4Y at its relaxed geometry, with properties calculated at the PBE level.

Values from the calculation:
The value obtained for the density of states at the Fermi level is 13.67 states/eV per cell. The value obtained for the magnetization is 0.00 Bohr magnetons per cell. Its electronic total energy is -4.942 eV per atom. The value obtained for the formation energy from the elements is 0.01 eV/atom.

The structure in POSCAR format:
```
Pm4Pr4Y
1.0
5.192 0.000 0.000
2.596 7.791 0.000
2.596 0.000 7.791
Pm Pr Y
4 4 1
direct
0.666 0.334 0.334
0.334 0.666 0.666
0.000 0.666 0.334
0.000 0.334 0.666
0.667 0.667 0.000
0.333 0.333 0.000
0.667 0.000 0.667
0.333 0.000 0.333
0.000 0.000 0.000
```



4.
Below is crystalline NdSCl3 at its relaxed geometry, with properties calculated at the PBE level.

Values from the calculation:
The value obtained for the magnetization is 4.00 Bohr magnetons per cell. For the energy relative to the elements, uncorrected, the calculation gives -1.686 eV per atom. Its electronic total energy is -4.573 eV per atom.

The structure in POSCAR format:
```
NdSCl3
1.0
-1.554 5.147 5.367
-7.103 -0.122 -1.940
-5.741 -9.246 7.204
Nd S Cl
4 4 12
direct
0.750 0.081 0.918
0.250 0.581 0.418
0.750 0.419 0.582
0.250 0.919 0.082
0.249 0.192 0.694
0.249 0.308 0.806
0.751 0.692 0.194
0.751 0.808 0.306
0.010 0.691 0.550
0.990 0.191 0.050
0.250 0.550 0.210
0.490 0.808 0.951
0.750 0.050 0.710
0.990 0.309 0.450
0.490 0.692 0.549
0.250 0.950 0.290
0.510 0.192 0.049
0.750 0.450 0.790
0.010 0.809 0.950
0.510 0.308 0.451
```



5.
Below is crystalline Cs2Cd3GaSn4 at its relaxed geometry, with properties calculated at the PBE level.

Values from the calculation:
The value obtained for the density of states at the Fermi level is 5.39 states/eV per cell. The value obtained for the magnetization is 0.00 Bohr magnetons per cell. Its electronic total energy is -2.480 eV per atom. The value obtained for the formation energy from the elements is -0.13 eV/atom.

The structure in POSCAR format:
```
Cs2Cd3GaSn4
1.0
-2.500 3.593 -2.474
-0.281 -2.978 -4.042
-10.835 -4.658 4.185
Cs Cd Ga Sn
2 3 1 4
direct
0.500 0.000 0.258
0.000 0.500 0.742
0.000 0.000 0.500
0.500 0.000 0.861
0.000 0.500 0.139
0.500 0.500 0.500
0.500 0.500 0.000
0.000 0.000 0.000
0.500 0.000 0.624
0.000 0.500 0.376
```



6.
Below is crystalline Nd4SiS2Cl at its relaxed geometry, with properties calculated at the PBE level.

Values from the calculation:
The value obtained for the density of states at the Fermi level is 3.29 states/eV per cell. The value obtained for the magnetization is 0.00 Bohr magnetons per cell. For the energy relative to the elements, uncorrected, the calculation gives -1.598 eV per atom. Its electronic total energy is -5.922 eV per atom.

The structure in POSCAR format:
```
Nd4SiS2Cl
1.0
-2.997 2.685 -0.911
-3.027 -1.226 6.345
2.708 4.670 4.856
Nd Si S Cl
4 1 2 1
direct
0.000 0.768 0.726
0.000 0.232 0.274
0.500 0.757 0.261
0.500 0.243 0.739
0.000 0.500 0.500
0.000 0.000 0.000
0.500 0.000 0.500
0.500 0.500 0.000
```



7.
Below is crystalline TbGePd3 at its relaxed geometry, with properties calculated at the PBE level.

Values from the calculation:
The value obtained for the density of states at the Fermi level is 9.65 states/eV per cell. The value obtained for the magnetization is 0.00 Bohr magnetons per cell. Its electronic total energy is -5.676 eV per atom. The value obtained for the formation energy from the elements is -0.71 eV/atom.

The structure in POSCAR format:
```
TbGePd3
1.0
-3.702 1.704 0.272
-2.925 -5.284 -6.724
-2.683 -6.878 6.572
Tb Ge Pd
4 4 12
direct
0.250 0.391 0.122
0.750 0.109 0.622
0.750 0.609 0.878
0.250 0.891 0.378
0.250 0.097 0.851
0.750 0.403 0.351
0.750 0.903 0.149
0.250 0.597 0.649
0.250 0.248 0.452
0.750 0.252 0.952
0.750 0.752 0.548
0.250 0.748 0.048
0.250 0.363 0.786
0.750 0.137 0.286
0.750 0.637 0.214
0.250 0.863 0.714
0.250 0.067 0.097
0.750 0.433 0.597
0.750 0.933 0.903
0.250 0.567 0.403
```



8.
Below is crystalline AlHg3I at its relaxed geometry, with properties calculated at the PBE level.

Values from the calculation:
The value obtained for the density of states at the Fermi level is 3.29 states/eV per cell. The value obtained for the magnetization is 0.00 Bohr magnetons per cell. For the energy relative to the elements, uncorrected, the calculation gives 0.655 eV per atom. Its electronic total energy is -0.585 eV per atom.

The structure in POSCAR format:
```
AlHg3I
1.0
-5.481 1.482 3.275
-1.588 -6.355 0.218
3.224 -0.611 5.673
I Hg Al
1 3 1
direct
0.000 0.000 0.000
0.000 0.500 0.000
0.000 0.000 0.500
0.500 0.000 0.000
0.500 0.500 0.500
```



9.
Below is crystalline Sb2RhPb at its relaxed geometry, with properties calculated at the PBE level.

Values from the calculation:
The value obtained for the density of states at the Fermi level is 2.62 states/eV per cell. The value obtained for the magnetization is 0.00 Bohr magnetons per cell. For the energy relative to the elements, uncorrected, the calculation gives -0.126 eV per atom. Its electronic total energy is -4.952 eV per atom.

The structure in POSCAR format:
```
Sb2RhPb
1.0
-2.676 -0.102 3.156
1.235 -1.260 3.744
1.215 6.091 3.916
Sb Rh Pb
2 1 1
direct
0.226 0.226 0.822
0.774 0.774 0.178
0.500 0.500 0.000
0.000 0.000 0.500
```



10.
Below is crystalline TaTcPdW2 at its relaxed geometry, with properties calculated at the PBE level.

Values from the calculation:
The value obtained for the density of states at the Fermi level is 9.51 states/eV per cell. The value obtained for the magnetization is 0.00 Bohr magnetons per cell. Its electronic total energy is -8.503 eV per atom. The value obtained for the formation energy from the elements is 2.16 eV/atom.

The structure in POSCAR format:
```
TaTcPdW2
1.0
-2.270 -4.066 -0.243
3.006 -1.486 -3.225
2.741 -1.730 3.353
Tc Pd W Ta
1 1 2 1
direct
0.000 0.500 0.000
0.000 0.000 0.000
0.000 0.000 0.500
0.500 0.000 0.000
0.500 0.500 0.500
```



11.
Below is crystalline Li3Mg12Pd at its relaxed geometry, with properties calculated at the PBE level.

Values from the calculation:
The value obtained for the density of states at the Fermi level is 7.59 states/eV per cell. The value obtained for the magnetization is 0.00 Bohr magnetons per cell. Its electronic total energy is -1.987 eV per atom. The value obtained for the formation energy from the elements is -0.11 eV/atom.

The structure in POSCAR format:
```
Li3Mg12Pd
1.0
-2.891 -3.273 1.544
3.372 -3.153 -0.369
4.420 3.011 14.662
Li Mg Pd
3 12 1
direct
0.000 0.000 0.239
0.000 0.000 0.500
0.000 0.000 0.761
0.500 0.500 0.000
0.500 0.500 0.240
0.500 0.500 0.500
0.500 0.500 0.760
0.500 0.000 0.111
0.500 0.000 0.369
0.500 0.000 0.631
0.500 0.000 0.889
0.000 0.500 0.111
0.000 0.500 0.369
0.000 0.500 0.631
0.000 0.500 0.889
0.000 0.000 0.000
```



12.
Below is crystalline Eu2HoCd at its relaxed geometry, with properties calculated at the PBE level.

Values from the calculation:
The value obtained for the density of states at the Fermi level is 3.67 states/eV per cell. The value obtained for the magnetization is 15.46 Bohr magnetons per cell. Its electronic total energy is -6.594 eV per atom. The value obtained for the formation energy from the elements is -0.08 eV/atom.

The structure in POSCAR format:
```
Eu2HoCd
1.0
3.793 0.000 0.000
0.000 3.793 0.000
0.000 0.000 9.258
Eu Ho Cd
2 1 1
direct
0.000 0.000 0.779
0.000 0.000 0.221
0.500 0.500 0.500
0.500 0.500 0.000
```